#w
Entry from Alexandria: Si2SbBr at its PBEsol-relaxed geometry (meta-GGA SCAN).

Cell lengths 3.8063, 3.8063, 7.8327 Å; angles 75.94, 75.94, 60.00 degrees
Closest atoms and distances in Å follow each position.
Sites, in units of the cell vectors:
Br  0.4740  0.4740  0.5779  3 Si 2.77
Si  0.0146  0.0146  0.9562  3 Si 2.49, 3 Sb 2.70
Si  0.7328  0.7328  0.8016  3 Si 2.49, 3 Br 2.77
Sb  0.2786  0.2786  0.1643  3 Si 2.70

Output
Total magnetization, μB per cell: 0.0
Calculated volume, A^3/atom: 23.583
Crystal system: trigonal
Symmetry: R3m



#x
Entry from Alexandria: Si2SbBr at its PBEsol-relaxed geometry (meta-GGA SCAN).

Cell lengths 3.2998, 4.8276, 6.0383 Å; angles 113.63, 105.86, 90.00 degrees
Closest atoms and distances in Å follow each position.
Sites, in units of the cell vectors:
Si  0.0163  0.0433  0.0326  2 Si 2.52, 2 Br 2.81
Sb  0.2889  0.7794  0.5778  6 Si 2.92-3.10, 1 Br 3.26
Br  0.4991  0.4949  0.9981  4 Si 2.81-3.05
Si  0.6958  0.1823  0.3915  2 Si 2.52

Output
Total magnetization, μB per cell: 0.0
Calculated volume, A^3/atom: 21.028
Crystal system: monoclinic
Symmetry: Cm



#y
Entry from Alexandria: Si2SbBr at its PBEsol-relaxed geometry (meta-GGA SCAN).

Cell lengths 4.0418, 4.0418, 6.9789 Å; angles 73.17, 73.17, 60.00 degrees
Closest atoms and distances in Å follow each position.
Sites, in units of the cell vectors:
Br  0.0000  0.0000  0.0000  6 Si 2.95
Si  0.7585  0.7585  0.7246  3 Sb 2.76, 3 Br 2.95
Si  0.2415  0.2415  0.2754  3 Sb 2.76, 3 Br 2.95
Sb  0.5000  0.5000  0.5000  6 Si 2.76

Output
Total magnetization, μB per cell: 0.0
Calculated volume, A^3/atom: 23.263
Crystal system: trigonal
Symmetry: R-3m



What are the relative energies? In eV/atom: #w 0.000; #x 0.354; #y 0.234.



#w
Entry from Alexandria: SrSbBr2 at its PBEsol-relaxed geometry (meta-GGA SCAN).

Cell lengths 3.7463, 5.8985, 6.0023 Å; angles 95.81, 108.18, 90.00 degrees
Closest atoms and distances in Å follow each position.
Sites, in units of the cell vectors:
Sr  0.0000  0.5000  0.0000  4 Br 3.06
Sb  0.5000  0.0000  0.0000  2 Br 2.82
Br  0.6888  0.7276  0.3777  1 Sb 2.82, 2 Sr 3.06
Br  0.3112  0.2724  0.6223  1 Sb 2.82, 2 Sr 3.06

Output
Total magnetization, μB per cell: 0.0
Calculated volume, A^3/atom: 31.324
Crystal system: monoclinic
Symmetry: C2/m



#x
Entry from Alexandria: SrSbBr2 at its PBEsol-relaxed geometry (meta-GGA SCAN).

Cell lengths 3.5423, 3.5423, 11.0131 Å; angles 90.00, 90.00, 90.00 degrees
Closest atoms and distances in Å follow each position.
Sites, in units of the cell vectors:
Br  0.0000  0.0000  0.6619  4 Sr 3.07
Br  0.0000  0.0000  0.3381  4 Sr 3.07
Sr  0.5000  0.5000  0.5000  8 Br 3.07
Sb  0.5000  0.5000  0.0000  4 Sb 3.54

Output
Total magnetization, μB per cell: 0.6
Calculated volume, A^3/atom: 34.548
Crystal system: tetragonal
Symmetry: P4/mmm



What are the relative energies? In eV/atom: #w 0.000; #x 0.016.